Record 1
First-principles (PBE-GGA) data for a relaxed LiInC crystal, as listed in Alexandria.

Values from the calculation:
space-group type = Fddd (70)
energy relative to the elements = 2.30 eV/f.u.

Cell: 6.9838 6.8659 5.9738 Å, 65.47 63.43 51.10°
Element x y z (fractional)
Li: 0.0063 0.0063 0.2437
Li: 0.2437 0.2437 0.0063
Li: 0.7563 0.7563 0.9937
Li: 0.9937 0.9937 0.7563
In: 0.0000 0.5000 0.5000
In: 0.5000 0.0000 0.5000
In: 0.5000 0.5000 0.0000
In: 0.5000 0.5000 0.5000
C: 0.1042 0.6458 0.6458
C: 0.3542 0.8958 0.8958
C: 0.6458 0.1042 0.1042
C: 0.8958 0.3542 0.3542



Record 2
First-principles (PBE-GGA) data for a relaxed LiInC crystal, as listed in Alexandria.

Values from the calculation:
space-group type = Pm (6)
energy relative to the elements = 2.34 eV/f.u.

Cell: 3.8181 3.3924 7.2190 Å, 90.00 90.07 90.00°
Element x y z (fractional)
Li: 0.0000 0.0000 0.0000
Li: 0.5000 0.5000 0.1741
In: 0.0005 0.0000 0.4411
In: 0.5004 0.5000 0.7804
C: 0.4999 0.0000 0.9778
C: 0.5016 0.5000 0.4716



Record 3
First-principles (PBE-GGA) data for a relaxed LiInC crystal, as listed in Alexandria.

Values from the calculation:
space-group type = I4/mmm (139)
energy relative to the elements = 2.19 eV/f.u.

Cell: 7.3046 7.3046 7.3046 Å, 95.11 95.11 145.29°
Element x y z (fractional)
Li: 0.0000 0.3697 0.3697
Li: 0.0000 0.6303 0.6303
Li: 0.3697 0.0000 0.3697
Li: 0.6303 0.0000 0.6303
In: 0.3386 0.3386 0.6772
In: 0.3386 0.6614 0.0000
In: 0.6614 0.3386 0.0000
In: 0.6614 0.6614 0.3228
C: 0.1961 0.5000 0.6961
C: 0.5000 0.1961 0.6961
C: 0.5000 0.8039 0.3039
C: 0.8039 0.5000 0.3039



Record 4
First-principles (PBE-GGA) data for a relaxed LiInC crystal, as listed in Alexandria.

Values from the calculation:
space-group type = P-1 (2)
energy relative to the elements = 0.54 eV/f.u.

Cell: 2.6998 3.3753 9.9780 Å, 98.64 94.45 92.46°
Element x y z (fractional)
Li: 0.2115 0.4337 0.3700
Li: 0.7885 0.5663 0.6300
In: 0.3600 0.1703 0.8641
In: 0.6400 0.8297 0.1359
C: 0.2571 0.0050 0.5235
C: 0.7429 0.9950 0.4765



Record 5
First-principles (PBE-GGA) data for a relaxed LiInC crystal, as listed in Alexandria.

Values from the calculation:
space-group type = Cm (8)
energy relative to the elements = 0.59 eV/f.u.

Cell: 3.6035 3.6035 9.8471 Å, 100.82 100.82 59.50°
Element x y z (fractional)
Li: 0.0000 0.0000 0.0000
Li: 0.7395 0.7395 0.2087
In: 0.2308 0.2308 0.7431
In: 0.4977 0.4977 0.4839
C: 0.3773 0.3773 0.1160
C: 0.4214 0.4214 0.2483



Record 6
First-principles (PBE-GGA) data for a relaxed LiInC crystal, as listed in Alexandria.

Values from the calculation:
space-group type = I4mm (107)
energy relative to the elements = 0.67 eV/f.u.

Cell: 6.5728 6.5728 6.5728 Å, 140.45 140.45 57.18°
Element x y z (fractional)
Li: 0.0000 0.5000 0.5000
Li: 0.5000 0.0000 0.5000
In: 0.1912 0.1912 0.0000
In: 0.6998 0.6998 0.0000
C: 0.3844 0.3844 0.0000
C: 0.4940 0.4940 0.0000



Record 7
First-principles (PBE-GGA) data for a relaxed LiInC2 crystal, as listed in Alexandria.

Values from the calculation:
space-group type = I-42d (122)
energy relative to the elements = 5.81 eV/f.u.

Cell: 7.2794 7.2794 7.2794 Å, 151.12 151.12 41.30°
Element x y z (fractional)
Li: 0.0000 0.0000 0.0000
Li: 0.7500 0.2500 0.5000
In: 0.2500 0.7500 0.5000
In: 0.5000 0.5000 0.0000
C: 0.0037 0.6250 0.8787
C: 0.3750 0.2537 0.3787
C: 0.7463 0.1250 0.1213
C: 0.8750 0.9963 0.6213



Record 8
First-principles (PBE-GGA) data for a relaxed LiInC crystal, as listed in Alexandria.

Values from the calculation:
space-group type = P1 (1)
energy relative to the elements = 0.75 eV/f.u.

Cell: 3.9305 5.2256 6.1159 Å, 112.62 107.81 91.31°
Element x y z (fractional)
Li: 0.0000 0.0000 0.0000
Li: 0.4799 0.5009 0.9689
In: 0.2883 0.9052 0.5655
In: 0.7683 0.3848 0.5185
C: 0.0447 0.4275 0.1088
C: 0.0491 0.6703 0.1041



Record 9
First-principles (PBE-GGA) data for a relaxed LiInC crystal, as listed in Alexandria.

Values from the calculation:
space-group type = Cm (8)
energy relative to the elements = 0.57 eV/f.u.

Cell: 3.6525 3.6525 9.3153 Å, 90.50 90.50 59.73°
Element x y z (fractional)
Li: 0.0000 0.0000 0.0000
Li: 0.6653 0.6653 0.7831
In: 0.3367 0.3367 0.4997
In: 0.6715 0.6715 0.2566
C: 0.3317 0.3317 0.7397
C: 0.3365 0.3365 0.8761



Record 10
First-principles (PBE-GGA) data for a relaxed LiInC crystal, as listed in Alexandria.

Values from the calculation:
space-group type = P6_3/mmc (194)
energy relative to the elements = 4.55 eV/f.u.

Cell: 5.0625 5.0625 7.8250 Å, 90.00 90.00 120.00°
Element x y z (fractional)
Li: 0.3333 0.6667 0.2500
Li: 0.6667 0.3333 0.7500
In: 0.0000 0.0000 0.2500
In: 0.0000 0.0000 0.7500
C: 0.0000 0.0000 0.0000
C: 0.0000 0.0000 0.5000



Record 11
First-principles (PBE-GGA) data for a relaxed LiInC crystal, as listed in Alexandria.

Values from the calculation:
space-group type = I-4m2 (119)
energy relative to the elements = 0.66 eV/f.u.

Cell: 6.6048 6.6048 6.6048 Å, 140.65 140.65 56.86°
Element x y z (fractional)
Li: 0.1881 0.1881 0.0000
Li: 0.8119 0.8119 0.0000
In: 0.5017 0.0017 0.5000
In: 0.9983 0.4983 0.5000
C: 0.1955 0.6955 0.5000
C: 0.3045 0.8045 0.5000



Record 12
First-principles (PBE-GGA) data for a relaxed LiInC crystal, as listed in Alexandria.

Values from the calculation:
space-group type = Pmma (51)
energy relative to the elements = 2.23 eV/f.u.

Cell: 6.6900 4.1674 3.5131 Å, 90.00 90.00 90.00°
Element x y z (fractional)
Li: 0.2500 0.0000 0.0292
Li: 0.7500 0.0000 0.9708
In: 0.0000 0.5000 0.5000
In: 0.5000 0.5000 0.5000
C: 0.2500 0.5000 0.1019
C: 0.7500 0.5000 0.8981



Record 13
First-principles (PBE-GGA) data for a relaxed LiInC crystal, as listed in Alexandria.

Values from the calculation:
space-group type = Cmcm (63)
energy relative to the elements = 2.46 eV/f.u.

Cell: 3.7287 3.7287 6.6394 Å, 90.00 90.00 108.30°
Element x y z (fractional)
Li: 0.0907 0.9093 0.7500
Li: 0.9093 0.0907 0.2500
In: 0.5000 0.5000 0.0000
In: 0.5000 0.5000 0.5000
C: 0.2625 0.7375 0.2500
C: 0.7375 0.2625 0.7500



Record 14
First-principles (PBE-GGA) data for a relaxed LiInC crystal, as listed in Alexandria.

Values from the calculation:
space-group type = P4_122 (91)
energy relative to the elements = 2.64 eV/f.u.

Cell: 5.2531 5.2531 7.8174 Å, 90.00 90.00 90.00°
Element x y z (fractional)
Li: 0.0000 0.2941 0.0000
Li: 0.0000 0.7059 0.5000
Li: 0.2941 0.0000 0.7500
Li: 0.7059 0.0000 0.2500
In: 0.2671 0.2671 0.3750
In: 0.2671 0.7329 0.1250
In: 0.7329 0.2671 0.6250
In: 0.7329 0.7329 0.8750
C: 0.0071 0.5000 0.7500
C: 0.5000 0.0071 0.0000
C: 0.5000 0.9929 0.5000
C: 0.9929 0.5000 0.2500



Record 15
First-principles (PBE-GGA) data for a relaxed LiInC crystal, as listed in Alexandria.

Values from the calculation:
space-group type = Imm2 (44)
energy relative to the elements = 1.76 eV/f.u.

Cell: 6.9296 6.9296 6.9296 Å, 148.25 57.31 133.61°
Element x y z (fractional)
Li: 0.0000 0.0000 0.0000
Li: 0.1020 0.4703 0.6317
Li: 0.8387 0.4703 0.3683
In: 0.2953 0.9894 0.3059
In: 0.4876 0.4876 0.0000
In: 0.6835 0.9894 0.6941
C: 0.2471 0.7471 0.5000
C: 0.5660 0.7283 0.8378
C: 0.8905 0.7283 0.1622



Record 16
First-principles (PBE-GGA) data for a relaxed LiInC crystal, as listed in Alexandria.

Values from the calculation:
space-group type = P-1 (2)
energy relative to the elements = 0.58 eV/f.u.

Cell: 3.3570 3.8172 9.2384 Å, 97.02 90.91 114.69°
Element x y z (fractional)
Li: 0.1166 0.2505 0.3978
Li: 0.8834 0.7495 0.6022
In: 0.3681 0.7545 0.1425
In: 0.6319 0.2455 0.8575
C: 0.4233 0.8516 0.4511
C: 0.5767 0.1484 0.5489



Record 17
First-principles (PBE-GGA) data for a relaxed LiInC crystal, as listed in Alexandria.

Values from the calculation:
space-group type = Pnna (52)
energy relative to the elements = 2.15 eV/f.u.

Cell: 5.6809 5.3906 5.3916 Å, 90.00 90.00 90.00°
Element x y z (fractional)
Li: 0.2500 0.0000 0.0046
Li: 0.2500 0.5000 0.4954
Li: 0.7500 0.0000 0.9954
Li: 0.7500 0.5000 0.5046
In: 0.2500 0.0000 0.5050
In: 0.2500 0.5000 0.9950
In: 0.7500 0.0000 0.4950
In: 0.7500 0.5000 0.0050
C: 0.0018 0.2500 0.2500
C: 0.4982 0.7500 0.2500
C: 0.5018 0.2500 0.7500
C: 0.9982 0.7500 0.7500



Record 18
First-principles (PBE-GGA) data for a relaxed LiInC crystal, as listed in Alexandria.

Values from the calculation:
space-group type = R3m (160)
energy relative to the elements = 1.95 eV/f.u.

Cell: 6.8630 6.8630 6.8630 Å, 32.27 32.27 32.27°
Element x y z (fractional)
Li: 0.0000 0.0000 0.0000
Li: 0.3799 0.3799 0.3799
In: 0.1302 0.1302 0.1302
In: 0.5958 0.5958 0.5958
C: 0.2469 0.2469 0.2469
C: 0.7355 0.7355 0.7355



Record 19
First-principles (PBE-GGA) data for a relaxed Li2MnInC crystal, as listed in Alexandria.

Values from the calculation:
space-group type = P4/mmm (123)
energy relative to the elements = 3.25 eV/f.u.

Cell: 4.9787 4.9787 3.7402 Å, 90.00 90.00 90.00°
Element x y z (fractional)
Li: 0.0000 0.5000 0.0000
Li: 0.5000 0.0000 0.0000
Mn: 0.0000 0.0000 0.0000
In: 0.5000 0.5000 0.5000
C: 0.0000 0.0000 0.5000



Record 20
First-principles (PBE-GGA) data for a relaxed Li2InCN crystal, as listed in Alexandria.

Values from the calculation:
space-group type = P4/mmm (123)
DFT total energy = -20.72 eV for the cell shown

Cell: 3.7485 3.7485 4.4471 Å, 90.00 90.00 90.00°
Element x y z (fractional)
Li: 0.0000 0.5000 0.0000
Li: 0.5000 0.0000 0.0000
In: 0.0000 0.0000 0.5000
C: 0.5000 0.5000 0.5000
N: 0.0000 0.0000 0.0000



Record 21
First-principles (PBE-GGA) data for a relaxed Li2In2Ni4C crystal, as listed in Alexandria.

Values from the calculation:
space-group type = I4/mmm (139)
energy relative to the elements = -0.81 eV/f.u.

Cell: 5.4649 5.4649 5.4649 Å, 120.68 120.68 88.83°
Element x y z (fractional)
Li: 0.2253 0.2253 0.0000
Li: 0.7747 0.7747 0.0000
In: 0.2500 0.7500 0.5000
In: 0.7500 0.2500 0.5000
Ni: 0.2575 0.2575 0.5149
Ni: 0.2575 0.7425 0.0000
Ni: 0.7425 0.2575 0.0000
Ni: 0.7425 0.7425 0.4851
C: 0.5000 0.5000 0.0000



Record 22
First-principles (PBE-GGA) data for a relaxed LiInNi2C crystal, as listed in Alexandria.

Values from the calculation:
space-group type = P4/mmm (123)
energy relative to the elements = 0.11 eV/f.u.

Cell: 3.8249 3.8249 4.0639 Å, 90.00 90.00 90.00°
Element x y z (fractional)
Li: 0.0000 0.0000 0.0000
In: 0.5000 0.5000 0.0000
Ni: 0.0000 0.5000 0.5000
Ni: 0.5000 0.0000 0.5000
C: 0.0000 0.0000 0.5000



Record 23
First-principles (PBE-GGA) data for a relaxed Li2InC2O6 crystal, as listed in Alexandria.

Values from the calculation:
space-group type = P-3 (147)
DFT total energy = -71.55 eV for the cell shown

Cell: 5.0328 5.0328 6.3690 Å, 90.00 90.00 120.00°
Element x y z (fractional)
Li: 0.3333 0.6667 0.3012
Li: 0.6667 0.3333 0.6988
In: 0.0000 0.0000 0.0000
C: 0.3333 0.6667 0.7650
C: 0.6667 0.3333 0.2350
O: 0.0714 0.6602 0.7662
O: 0.3398 0.4112 0.7662
O: 0.4112 0.0714 0.2338
O: 0.5888 0.9286 0.7662
O: 0.6602 0.5888 0.2338
O: 0.9286 0.3398 0.2338



Record 24
First-principles (PBE-GGA) data for a relaxed LiIn2PtC crystal, as listed in Alexandria.

Values from the calculation:
space-group type = P4/mmm (123)
energy relative to the elements = 2.08 eV/f.u.

Cell: 5.0708 5.0708 3.9427 Å, 90.00 90.00 90.00°
Element x y z (fractional)
Li: 0.0000 0.0000 0.0000
In: 0.0000 0.5000 0.5000
In: 0.5000 0.0000 0.5000
Pt: 0.5000 0.5000 0.0000
C: 0.5000 0.5000 0.5000



Record 25
First-principles (PBE-GGA) data for a relaxed RbLiIn2C crystal, as listed in Alexandria.

Values from the calculation:
space-group type = P4/mmm (123)
energy relative to the elements = 8.95 eV/f.u.

Cell: 6.2788 6.2788 4.7892 Å, 90.00 90.00 90.00°
Element x y z (fractional)
Rb: 0.0000 0.0000 0.0000
Li: 0.5000 0.5000 0.5000
In: 0.0000 0.5000 0.0000
In: 0.5000 0.0000 0.0000
C: 0.0000 0.0000 0.5000



Fermi-level density of states / states/eV per cell: 0.5, 1.3, 3.0, 1.4, 0.9, 1.8, 0.1, 1.1, 1.2, 0.7, 1.8, 0.7, 0.0, 2.1, 0.0, 1.8, 0.1, 0.0, 2.0, 2.1, 5.7, 1.8, 2.8, 3.4, 3.6